Record 1
First-principles (GGA-PBE) data for a relaxed structure of CeNd2Y, as listed in Alexandria.

* polymorph energy (0 for the lowest one): 0.134 eV per atom
* ΔH_f (0 K): 0.192 eV per atom

Cell: 3.490 3.490 12.737 Å, 82.12 82.12 60.00°
Site moments in Bohr magnetons follow the coordinates.
Sites, in units of the cell vectors:
Nd: 0.088 0.088 0.737  -0.02
Ce: 0.000 0.000 0.000  0.77
Y: 0.500 0.500 0.500  0.01
Nd: 0.912 0.912 0.263  -0.02

---

Record 2
First-principles (GGA-PBE) data for a relaxed structure of Cd3ReS, as listed in Alexandria.

* polymorph energy (0 for the lowest one): 0.097 eV per atom

Cell: 4.985 4.985 4.985 Å, 90.00 90.00 90.00°
Site moments in Bohr magnetons follow the coordinates.
Sites, in units of the cell vectors:
Cd: 0.500 0.000 0.000  -0.03
Re: 0.500 0.500 0.500  2.88
S: 0.000 0.000 0.000  0.04
Cd: 0.000 0.500 0.000  -0.06
Cd: 0.000 0.000 0.500  -0.07

---

Record 3
First-principles (GGA-PBE) data for a relaxed structure of AlReNi2, as listed in Alexandria.

* ΔH_f (0 K): -0.139 eV per atom

Cell: 5.025 5.025 5.025 Å, 148.99 128.60 61.25°
Sites, in units of the cell vectors:
Ni: 0.758 0.258 0.500
Al: 0.238 0.738 0.500
Ni: 0.001 0.001 0.000
Re: 0.503 0.503 0.000

---

Record 4
First-principles (GGA-PBE) data for a relaxed structure of Cs2KLaBr6, as listed in Alexandria.

* polymorph energy (0 for the lowest one): 0.026 eV per atom

Cell: 8.622 8.622 8.622 Å, 60.00 60.00 90.00°
Sites, in units of the cell vectors:
Cs: 0.750 0.250 0.500
K: 0.500 0.500 0.000
Br: 0.760 0.760 0.000
Br: 0.760 0.240 0.000
La: 0.000 0.000 0.000
Br: 0.760 0.760 0.480
Br: 0.240 0.760 0.000
Cs: 0.250 0.750 0.500
Br: 0.240 0.240 0.000
Br: 0.240 0.240 0.520

---

Record 5
First-principles (GGA-PBE) data for a relaxed structure of DyPaP2, as listed in Alexandria.

* polymorph energy (0 for the lowest one): 0.000 eV per atom
* ΔH_f (0 K): -1.458 eV per atom

Cell: 3.983 3.983 6.889 Å, 73.19 73.19 59.99°
Sites, in units of the cell vectors:
Dy: 0.500 0.500 0.500
P: 0.251 0.251 0.246
Pa: 0.000 0.000 0.000
P: 0.749 0.749 0.754

---

Record 6
First-principles (GGA-PBE) data for a relaxed structure of ZrTiPd2, as listed in Alexandria.

* polymorph energy (0 for the lowest one): 0.332 eV per atom
* ΔH_f (0 K): -0.235 eV per atom

Cell: 7.253 7.253 5.833 Å, 51.55 51.55 90.00°
Sites, in units of the cell vectors:
Zr: 0.750 0.250 0.500
Zr: 0.000 0.000 0.000
Pd: 0.375 0.398 0.750
Pd: 0.602 0.125 0.250
Pd: 0.875 0.852 0.750
Ti: 0.500 0.500 0.000
Pd: 0.148 0.625 0.250
Ti: 0.250 0.750 0.500

---

Record 7
First-principles (GGA-PBE) data for a relaxed structure of RbTiGa3, as listed in Alexandria.

* polymorph energy (0 for the lowest one): 0.000 eV per atom
* ΔH_f (0 K): 0.177 eV per atom

Cell: 5.193 5.193 5.193 Å, 90.00 90.00 90.00°
Site moments in Bohr magnetons follow the coordinates.
Sites, in units of the cell vectors:
Rb: 0.500 0.500 0.500  0.00
Ga: 0.500 0.000 0.000  0.08
Ga: 0.000 0.000 0.500  0.05
Ti: 0.000 0.000 0.000  0.86
Ga: 0.000 0.500 0.000  0.09

---

Record 8
First-principles (GGA-PBE) data for a relaxed structure of FeBSbOs2, as listed in Alexandria.

Cell: 4.460 4.622 4.460 Å, 90.00 90.00 90.00°
Sites, in units of the cell vectors:
Os: 0.000 0.000 0.500
Os: 0.500 0.000 0.000
Sb: 0.000 0.500 0.000
B: 0.500 0.500 0.500
Fe: 0.000 0.000 0.000

---

no.,total energy (eV/atom),mass density (g cm⁻³),total moment (Bohr magnetons per cell)
1,-5.291,6.48,0.90
2,-2.528,7.45,3.15
3,-7.078,10.84,0.00
4,-3.660,3.38,0.00
5,-7.688,8.48,0.00
6,-6.943,8.00,0.00
7,-3.411,4.06,1.42
8,-6.121,10.28,0.00